Density functional theory data (GGA-PBE) for Na2TaCl after structural relaxation.

The total energy is -54.5 eV for the cell shown. The polymorph energy (0 for the lowest one) comes out at 0 meV per atom.

It has space group I-42d (No. 122), with a = 8.809 Å, b = 8.809 Å, c = 4.849 Å, α = 90.00°, β = 90.00° and γ = 90.00°. The distinct sites, in fractional coordinates, are Na at (0.173, 0.250, 0.125), Ta at (0.000, 0.000, 0.500) and Cl at (0.000, 0.000, 0.000).



Density functional theory data (GGA-PBE) for Ce2InSn9 after structural relaxation.

The total energy is -54.4 eV for the cell shown.

It has space group P4/mmm (No. 123), with a = 4.690 Å, b = 4.690 Å, c = 14.689 Å, α = 90.00°, β = 90.00° and γ = 90.00°. The distinct sites, in fractional coordinates, are Ce at (0.000, 0.000, 0.156), In at (0.000, 0.000, 0.500), Sn at (0.000, 0.500, 0.000), Sn at (0.000, 0.500, 0.330), Sn at (0.500, 0.500, 0.164) and Sn at (0.500, 0.500, 0.500).



Density functional theory data (GGA-PBE) for LiFeNi after structural relaxation.

The total energy is -63.3 eV for the cell shown. The polymorph energy (0 for the lowest one) comes out at 81 meV per atom.

It has space group Fmm2 (No. 42), with a = 2.738 Å, b = 4.060 Å, c = 12.758 Å, α = 90.00°, β = 90.00° and γ = 90.00°. The distinct sites, in fractional coordinates, are Li at (0.000, 0.000, 0.000), Fe at (0.000, 0.000, 0.323) and Ni at (0.000, 0.000, 0.666).



- What is the total energy in the second record?
  -54.4 eV for the cell shown



- Which formula does entry 3 have?
  LiFeNi



- Which formula does entry 2 have?
  Ce2InSn9